(1)
## Ba2SiAg (PBE)

Data for a relaxed structure of Ba2SiAg.

Summary:
The density of states at the Fermi level is 0.83 states/eV per atom. Its calculated volume is 31.9 Å³ per atom. As for the uncorrected formation energy: -0.7 eV/f.u.

a b c (Å): 6.4838 6.4838 6.4838
angles (deg): 141.33 130.60 64.44
With the nearest neighbours (Å) after each atom.
Positions (direct):
Ba: 0.0000 0.0000 0.0000  2 Ba 3.48, 4 Ag 3.52-3.88, 4 Si 3.56
Ba: 0.6992 0.1992 0.5000  2 Ba 3.48, 4 Ag 3.61, 4 Si 3.65-3.72
Si: 0.4220 0.4220 0.0000  2 Ag 2.56
Ag: 0.2945 0.7945 0.5000  2 Si 2.56

---

(2)
## BaSiAg2 (PBE)

Data for a relaxed structure of BaSiAg2.

Summary:
The density of states at the Fermi level is 0.17 states/eV per atom. Its calculated volume is 26.0 Å³ per atom. As for the uncorrected formation energy: -0.7 eV/f.u.

a b c (Å): 4.5802 4.5802 6.3059
angles (deg): 111.18 111.18 59.99
With the nearest neighbours (Å) after each atom.
Positions (direct):
Ba: 0.0000 0.0000 0.0000  8 Ag 3.41-3.52
Si: 0.5000 0.5000 0.5000  6 Ag 2.70
Ag: 0.1981 0.1981 0.5946  3 Si 2.70, 3 Ag 2.86
Ag: 0.8019 0.8019 0.4054  3 Si 2.70, 3 Ag 2.86

---

(3)
## Ba2Si3Ag (PBE)

Data for a relaxed structure of Ba2Si3Ag.

Summary:
The density of states at the Fermi level is 0.23 states/eV per atom. Its calculated volume is 27.0 Å³ per atom. As for the uncorrected formation energy: -2.6 eV/f.u.

a b c (Å): 12.4717 10.8589 8.6671
angles (deg): 78.51 58.57 42.92
With the nearest neighbours (Å) after each atom.
Positions (direct):
Ba: 0.0005 0.0005 0.2495  10 Si 3.40-3.62, 2 Ag 3.53
Ba: 0.9995 0.9995 0.7505  10 Si 3.40-3.62, 2 Ag 3.53
Ba: 0.2495 0.2495 0.0005  10 Si 3.40-3.62, 2 Ag 3.53
Ba: 0.2507 0.2507 0.4993  8 Si 3.52-3.60, 4 Ag 3.52-3.54
Ba: 0.4993 0.4993 0.2507  8 Si 3.52-3.60, 4 Ag 3.52-3.54
Ba: 0.5007 0.5007 0.7493  8 Si 3.52-3.60, 4 Ag 3.52-3.54
Ba: 0.7493 0.7493 0.5007  8 Si 3.52-3.60, 4 Ag 3.52-3.54
Ba: 0.7505 0.7505 0.9995  10 Si 3.40-3.62, 2 Ag 3.53
Si: 0.0310 0.7130 0.5597  2 Si 2.39, 1 Ag 2.62
Si: 0.0345 0.7155 0.0345  2 Si 2.39, 1 Ag 2.60
Si: 0.1963 0.5597 0.7130  2 Si 2.39, 1 Ag 2.62
Si: 0.2845 0.9655 0.2845  2 Si 2.39, 1 Ag 2.60
Si: 0.2870 0.9690 0.8037  2 Si 2.39, 1 Ag 2.62
Si: 0.4403 0.8037 0.9690  2 Si 2.39, 1 Ag 2.62
Si: 0.5597 0.1963 0.0310  2 Si 2.39, 1 Ag 2.62
Si: 0.7130 0.0310 0.1963  2 Si 2.39, 1 Ag 2.62
Si: 0.7155 0.0345 0.7155  2 Si 2.39, 1 Ag 2.60
Si: 0.8037 0.4403 0.2870  2 Si 2.39, 1 Ag 2.62
Si: 0.9655 0.2845 0.9655  2 Si 2.39, 1 Ag 2.60
Si: 0.9690 0.2870 0.4403  2 Si 2.39, 1 Ag 2.62
Ag: 0.2080 0.5420 0.2080  3 Si 2.60-2.62
Ag: 0.4580 0.7920 0.4580  3 Si 2.60-2.62
Ag: 0.5420 0.2080 0.5420  3 Si 2.60-2.62
Ag: 0.7920 0.4580 0.7920  3 Si 2.60-2.62

---

(4)
## BaSiAg2 (PBE)

Data for a relaxed structure of BaSiAg2.

Summary:
The density of states at the Fermi level is 0.16 states/eV per atom. Its calculated volume is 30.5 Å³ per atom. As for the uncorrected formation energy: -0.5 eV/f.u.

a b c (Å): 9.1719 9.1719 9.1719
angles (deg): 145.72 145.72 49.26
With the nearest neighbours (Å) after each atom.
Positions (direct):
Ba: 0.3750 0.6250 0.7500  8 Ag 3.67, 4 Si 3.82
Ba: 0.6250 0.3750 0.2500  8 Ag 3.67, 4 Si 3.82
Si: 0.1250 0.8750 0.2500  4 Ag 2.48
Si: 0.8750 0.1250 0.7500  4 Ag 2.48
Ag: 0.0000 0.0000 0.0000  2 Si 2.48, 2 Ag 2.70
Ag: 0.0000 0.0000 0.5000  2 Si 2.48, 2 Ag 2.70
Ag: 0.0000 0.5000 0.0000  2 Si 2.48, 2 Ag 2.70
Ag: 0.5000 0.0000 0.5000  2 Si 2.48, 2 Ag 2.70

---

Which of these has the highest calculated volume?
Ba2SiAg

---

Among the records above, which one has the lowest calculated volume?
number 2